Below is NaCrP2O after structural relaxation, with properties calculated at the GGA+U level.

Structure (CIF):
```
data_NaCrP2O
_chemical_formula_sum 'Na1 Cr1 P2 O1'
_cell_length_a 4.776
_cell_length_b 4.776
_cell_length_c 3.921
_cell_angle_alpha 90.00
_cell_angle_beta 90.00
_cell_angle_gamma 90.00
_symmetry_space_group_name_H-M 'P 1'
_symmetry_Int_Tables_number 1
_symmetry_space_group_name_Hall 'P 1'
loop_
_atom_site_label
_atom_site_fract_x
_atom_site_fract_y
_atom_site_fract_z
_atom_site_occupancy
Na1 0.000 0.000 0.000 1
Cr1 0.500 0.500 0.500 1
P1 0.000 0.500 0.000 1
P2 0.500 0.000 0.000 1
O1 0.000 0.000 0.500 1
```

Calculated values
SG: P4/mmm (123)
Total DFT energy (no corrections): -16.8 eV/cell
Spin magnetization: 0.47 μB per atom
Fermi-level density of states: 3.74 states/eV/cell